This record from the Alexandria database describes a relaxed structure of HfCu2Re. The functional is PBE.

a b c (Å): 6.2016 6.2016 6.2016
angles (deg): 90.00 90.00 90.00
Space group Fm-3m (No. 225)
Unique sites:
Hf: 0.0000 0.0000 0.0000 x4
Cu: 0.2500 0.2500 0.2500 x8
Re: 0.0000 0.0000 0.5000 x4

Calculated values
energy relative to the lowest polymorph listed for this composition	0.0	meV/atom
volume	238.5	Å³/cell
E_tot	-7.47	eV/atom
spin magnetization	0.000	μB per formula unit
formation energy	176	meV per atom